Record 1
The following is a PBE calculation of LiAl2Ag3 after structural relaxation, from Alexandria.

Summary:
- Magnetization: 0.000 μB per formula unit
- Formation energy from the elements: -15.32 kJ per mole of atoms
- Total DFT energy (no corrections): -3.151 eV per atom
- Calculated volume: 193.6 Å³/cell

abc: 6.9648 6.9648 6.6686
angles: 90.00 90.00 143.23
Closest atoms and distances in Å follow each position.
Fractional positions:
Li (0.1628, 0.8372, 0.0000)  8 Ag 2.73-2.77
Li (0.8372, 0.1628, 0.0000)  8 Ag 2.73-2.77
Al (0.1699, 0.8301, 0.5000)  8 Ag 2.75-2.79, 2 Al 3.05
Al (0.5000, 0.5000, 0.0000)  8 Ag 2.74-2.76
Al (0.5000, 0.5000, 0.5000)  8 Ag 2.75-2.80
Al (0.8301, 0.1699, 0.5000)  8 Ag 2.75-2.79, 2 Al 3.05
Ag (0.0000, 0.0000, 0.2513)  2 Li 2.73, 6 Al 2.75-2.79
Ag (0.0000, 0.0000, 0.7487)  2 Li 2.73, 6 Al 2.75-2.79
Ag (0.3329, 0.6671, 0.2427)  3 Li 2.73-2.77, 5 Al 2.74-2.80
Ag (0.3329, 0.6671, 0.7573)  3 Li 2.73-2.77, 5 Al 2.74-2.80
Ag (0.6671, 0.3329, 0.2427)  3 Li 2.73-2.77, 5 Al 2.74-2.80
Ag (0.6671, 0.3329, 0.7573)  3 Li 2.73-2.77, 5 Al 2.74-2.80


Record 2
The following is a PBE calculation of Li12AlAg6 after structural relaxation, from Alexandria.

Summary:
- Magnetization: 0.000 μB per formula unit
- Formation energy from the elements: -14.39 kJ per mole of atoms
- Total DFT energy (no corrections): -2.455 eV per atom
- Calculated volume: 335.2 Å³/cell

abc: 6.9466 6.9466 6.9466
angles: 89.69 89.69 89.69
Closest atoms and distances in Å follow each position.
Fractional positions:
Li (0.0267, 0.9238, 0.3089)  4 Ag 2.75-2.83, 4 Li 2.86-2.88
Li (0.0762, 0.6911, 0.9733)  4 Ag 2.75-2.83, 4 Li 2.86-2.88
Li (0.1222, 0.4608, 0.3522)  4 Li 2.71-2.93, 5 Ag 2.79-3.01, 1 Al 2.84
Li (0.3089, 0.0267, 0.9238)  4 Ag 2.75-2.83, 4 Li 2.86-2.88
Li (0.3522, 0.1222, 0.4608)  4 Li 2.71-2.93, 5 Ag 2.79-3.01, 1 Al 2.84
Li (0.4608, 0.3522, 0.1222)  4 Li 2.71-2.93, 5 Ag 2.79-3.01, 1 Al 2.84
Li (0.5392, 0.6478, 0.8778)  4 Li 2.71-2.93, 5 Ag 2.79-3.01, 1 Al 2.84
Li (0.6478, 0.8778, 0.5392)  4 Li 2.71-2.93, 5 Ag 2.79-3.01, 1 Al 2.84
Li (0.6911, 0.9733, 0.0762)  4 Ag 2.75-2.83, 4 Li 2.86-2.88
Li (0.8778, 0.5392, 0.6478)  4 Li 2.71-2.93, 5 Ag 2.79-3.01, 1 Al 2.84
Li (0.9238, 0.3089, 0.0267)  4 Ag 2.75-2.83, 4 Li 2.86-2.88
Li (0.9733, 0.0762, 0.6911)  4 Ag 2.75-2.83, 4 Li 2.86-2.88
Al (0.5000, 0.5000, 0.5000)  6 Ag 2.75, 6 Li 2.84
Ag (0.2286, 0.3813, 0.7647)  9 Li 2.75-3.01, 1 Al 2.75, 2 Ag 2.89
Ag (0.2353, 0.7714, 0.6187)  9 Li 2.75-3.01, 1 Al 2.75, 2 Ag 2.89
Ag (0.3813, 0.7647, 0.2286)  9 Li 2.75-3.01, 1 Al 2.75, 2 Ag 2.89
Ag (0.6187, 0.2353, 0.7714)  9 Li 2.75-3.01, 1 Al 2.75, 2 Ag 2.89
Ag (0.7647, 0.2286, 0.3813)  9 Li 2.75-3.01, 1 Al 2.75, 2 Ag 2.89
Ag (0.7714, 0.6187, 0.2353)  9 Li 2.75-3.01, 1 Al 2.75, 2 Ag 2.89


magnetization of number 2 (Li12AlAg6)?
0.000 μB per formula unit


Among the records above, which one has the lowest calculated volume?
LiAl2Ag3